Density functional theory data (PBE-GGA) for a relaxed structure of Pu3InH.

abc: 4.8010 4.8010 4.8010
angles: 90.00 90.00 90.00
Space group Pm-3m (No. 221)
Unique sites:
Pu: 0.0000 0.0000 0.5000 x3
In: 0.5000 0.5000 0.5000 x1
H: 0.0000 0.0000 0.0000 x1


Density functional theory data (PBE-GGA) for a relaxed structure of Pu2InH.

abc: 3.5040 3.5040 19.7386
angles: 90.00 90.00 120.00
Space group R3m (No. 160, hexagonal axes)
Unique sites:
Pu: 0.0000 0.0000 0.0000 x3
Pu: 0.0000 0.0000 0.2679 x3
In: 0.0000 0.0000 0.4722 x3
H: 0.0000 0.0000 0.7149 x3


| no. | calculated total energy (eV per atom) | volume (Å³/atom) | spin magnetization (μB per cell) |
| --- | --- | --- | --- |
| 1 | -9.970 | 22.13 | 18.07 |
| 2 | -8.743 | 17.49 | 2.02 |